[1]
The following is a DFT calculation (PBE) of an optimized crystal structure of K5As3O10.

POSCAR file:
```
K5As3O10
1.0
-3.5502 -5.6508 4.7108
6.1213 0.5862 5.3164
-9.7082 14.1200 9.6212
As O K
12 40 20
Cartesian
-3.3063 6.8570 12.5552 As
-1.5536 2.4155 9.9855 As
-7.7131 7.6545 17.0372 As
-8.5051 9.2755 12.0599 As
-2.4145 -0.1259 11.9333 As
-4.5948 8.4305 7.1467 As
-0.0483 2.1040 2.7483 As
-4.0768 2.7608 7.8185 As
2.1106 -0.7351 7.2944 As
-1.3374 8.8197 10.7482 As
-9.8078 7.3767 14.4456 As
-1.5754 -0.5012 4.1175 As
-5.0917 1.4810 7.3749 O
-4.5385 11.7721 12.9495 O
1.3985 0.3793 6.2381 O
-1.1055 3.1127 3.6294 O
-3.8203 7.1796 6.2785 O
-1.6495 4.0452 10.3735 O
-3.0975 3.4161 6.5971 O
-9.8217 8.6982 13.2438 O
1.6822 5.3918 8.8241 O
-7.6824 7.8936 11.4901 O
-7.5531 13.4215 10.7257 O
-4.8757 3.9730 8.7190 O
1.1100 -1.3924 8.4974 O
-9.4650 10.0100 10.8681 O
-2.9790 1.8498 9.0382 O
-2.3795 7.3971 11.0328 O
-0.1697 0.3926 3.4725 O
-7.7482 4.3149 11.2528 O
-1.5790 -1.1558 10.8597 O
3.3602 0.4007 8.1136 O
-1.9621 -3.2046 7.7534 O
3.0221 -1.9365 6.4917 O
-3.9073 8.2602 13.3176 O
-8.6002 8.8946 17.8076 O
-8.2183 7.7036 15.2303 O
-1.0291 -2.0878 4.1207 O
-4.0424 2.7317 14.0769 O
-4.5105 8.2291 8.8251 O
-0.1976 1.7811 9.2130 O
-6.4371 8.1566 6.9148 O
-4.5292 5.9135 11.8512 O
-1.9033 1.6229 11.5477 O
-0.5414 5.4973 7.0056 O
-7.5220 10.3127 12.9647 O
-2.1706 6.0228 13.4906 O
-4.0401 -3.7220 5.8359 O
-9.6778 5.8499 13.7455 O
-6.0704 8.0213 16.8587 O
-2.2233 0.2011 5.5050 O
-2.1753 10.2787 10.8334 O
-9.8193 6.1746 10.7630 K
0.1248 -3.5685 6.1165 K
-6.8131 5.9325 13.3210 K
-3.7434 2.2588 4.1452 K
-0.4450 2.4817 6.3155 K
-7.4990 12.9887 13.4311 K
-4.5473 3.2686 11.4379 K
-5.6299 9.8954 14.8173 K
3.2746 2.1925 5.2056 K
-7.5388 2.8349 8.3819 K
-10.1619 12.5865 10.6605 K
-5.0968 9.6606 11.1557 K
1.0869 -0.2063 11.0626 K
-2.2003 10.4680 13.7243 K
3.4423 -3.6090 8.8495 K
-5.6602 -0.2070 9.5431 K
0.3103 5.8242 11.0819 K
-2.6786 5.8961 8.6344 K
-1.5174 -0.5486 8.1064 K
-6.2587 6.2298 9.7308 K
```

Density of states at the Fermi level in states/eV/cell: 0.0
Calculated total energy in eV/atom: -5.47


[2]
The following is a DFT calculation (PBE) of an optimized crystal structure of K8As2O.

POSCAR file:
```
K8As2O
1.0
5.5747 0.0000 0.0000
0.0000 7.0466 -0.1490
-2.7873 -3.1718 9.5947
K As O
8 2 1
Cartesian
2.7873 3.4802 5.0223 K
0.0000 -1.7727 7.2326 K
2.7873 1.9836 1.7681 K
2.7873 5.6476 2.2131 K
2.7873 -1.5375 9.4543 K
0.0000 0.3947 4.4234 K
0.0000 5.4123 -0.0085 K
0.0000 1.8913 7.6776 K
2.7873 0.2387 6.6069 As
0.0000 3.6362 2.8388 As
2.7873 0.0000 0.0000 O
```

Density of states at the Fermi level in states/eV/cell: 8.8
Calculated total energy in eV/atom: -2.56


[3]
The following is a DFT calculation (PBE) of an optimized crystal structure of K2AsO3.

POSCAR file:
```
K2AsO3
1.0
7.0854 -1.6932 0.0000
-1.9671 7.0143 0.0000
-2.5592 -2.6606 6.5173
O K As
6 4 2
Cartesian
-1.0498 1.0098 4.4212 O
1.5094 3.6703 2.0961 O
3.6089 1.6508 2.0961 O
1.0498 -1.0098 4.4212 O
0.0000 0.0000 1.7318 O
2.5592 2.6606 4.7855 O
3.7290 3.8767 0.0000 K
1.3894 1.4444 0.0000 K
3.5427 -0.8466 3.2586 K
-0.9835 3.5072 3.2586 K
0.0000 0.0000 3.4604 As
2.5592 2.6606 3.0569 As
```

Density of states at the Fermi level in states/eV/cell: 4.3
Calculated total energy in eV/atom: -4.94


[4]
The following is a DFT calculation (PBE) of an optimized crystal structure of KAsO4.

POSCAR file:
```
KAsO4
1.0
2.1456 -3.7336 4.7445
-3.7017 4.6595 2.3750
-3.4383 -3.5473 -4.0802
O As K
8 2 2
Cartesian
-3.7932 -3.6677 2.3415 O
-1.7212 -4.3053 -0.6148 O
1.3946 -2.9551 3.3827 O
-1.1511 -0.8824 0.9596 O
-3.2089 -0.5887 0.1737 O
-2.1134 -1.8376 4.3657 O
-2.9453 1.4888 2.1542 O
-0.5918 -6.1307 1.7644 O
-3.9590 0.7875 0.9273 As
0.0000 0.0000 0.0000 As
-1.0354 -3.4090 2.1121 K
-0.7780 0.4629 3.5598 K
```

Calculated total energy in eV/atom: -5.14


[5]
The following is a DFT calculation (PBE) of an optimized crystal structure of K2AsOsO6.

POSCAR file:
```
K2AsOsO6
1.0
5.7372 0.0003 -0.0012
0.0003 5.7372 -0.0013
2.8683 2.8683 4.0568
O Os K As
6 1 2 1
Cartesian
7.2497 4.2229 4.0555 O
4.3836 4.3820 -0.0013 O
5.7384 5.7384 1.9134 O
2.8674 2.8674 2.1409 O
4.2222 4.2238 4.0556 O
1.3561 4.3829 -0.0012 O
0.0000 0.0000 0.0000 Os
2.8688 5.7370 2.0271 K
5.7370 2.8689 2.0271 K
2.8687 2.8688 -0.0013 As
```

Density of states at the Fermi level in states/eV/cell: 4.3
Calculated total energy in eV/atom: -5.94


[6]
The following is a DFT calculation (PBE) of an optimized crystal structure of KAsPO6.

POSCAR file:
```
KAsPO6
1.0
-3.6995 2.9725 -0.2600
-4.1932 -1.5594 -1.6047
-1.6298 -1.5261 5.7421
P O K As
1 6 1 1
Cartesian
-3.4457 -0.2921 2.2494 P
-4.8740 0.2303 3.0572 O
-3.7239 -1.8930 2.8193 O
-2.5341 0.0424 3.6715 O
-2.9045 1.2618 1.7417 O
-4.4643 -0.3764 0.8635 O
-2.1737 -1.0174 1.3433 O
-5.3292 1.4463 5.4819 K
-6.0766 0.1790 1.6278 As
```

Density of states at the Fermi level in states/eV/cell: 6.8
Calculated total energy in eV/atom: -6.01


[7]
The following is a DFT calculation (PBE) of an optimized crystal structure of K2AsPO.

POSCAR file:
```
K2AsPO
1.0
-4.6693 -0.2416 -4.3786
-2.3584 -0.2897 2.5310
-0.5415 6.3788 0.2255
K P O As
2 1 1 1
Cartesian
-0.2708 3.1894 0.1127 K
-2.3347 -0.1208 -2.1893 K
0.0000 0.0000 0.0000 P
-1.1792 -0.1448 1.2655 O
-3.7846 2.9237 -0.8111 As
```

Density of states at the Fermi level in states/eV/cell: 4.4
Calculated total energy in eV/atom: -3.71


[8]
The following is a DFT calculation (PBE) of an optimized crystal structure of KAsP2O8.

POSCAR file:
```
KAsP2O8
1.0
-4.9095 -0.1473 -0.3537
-2.1417 -2.9222 -3.3352
-2.5725 -7.4210 4.5186
O K P As
8 1 2 1
Cartesian
-2.3790 -1.8479 -0.4886 O
-6.1656 -6.4512 0.7560 O
-7.2446 -8.6426 1.3183 O
-4.3917 -5.3132 -1.3801 O
-6.1723 -4.1208 -0.1218 O
-3.7817 -3.7149 0.4223 O
-3.7018 -6.7114 0.5616 O
-4.6579 -5.1601 2.2512 O
0.0000 0.0000 0.0000 K
-2.4176 -2.9592 0.5098 P
-7.2061 -7.5314 0.3199 P
-4.8118 -5.2453 0.4149 As
```

Density of states at the Fermi level in states/eV/cell: 0.0
Calculated total energy in eV/atom: -6.46


[9]
The following is a DFT calculation (PBE) of an optimized crystal structure of KPaAs2O8.

POSCAR file:
```
KPaAs2O8
1.0
-2.1944 -2.2666 4.7968
-2.3585 -1.2187 -5.0906
4.8524 -6.2758 -0.7456
O K As Pa
8 1 2 1
Cartesian
-2.5603 -3.7002 0.5161 O
0.3112 -4.9501 -2.1966 O
-0.3723 -2.0252 0.6573 O
2.8599 -6.0609 -1.5556 O
-0.0117 -4.8110 1.1572 O
1.7265 -6.6466 -4.0020 O
-1.4269 -3.1145 2.9626 O
0.6719 -7.7358 -1.6968 O
2.4262 -3.1379 -0.3728 K
1.3188 -6.2531 -2.3514 As
-1.0192 -3.5079 1.3120 As
0.0000 0.0000 0.0000 Pa
```

Density of states at the Fermi level in states/eV/cell: 0.0
Calculated total energy in eV/atom: -7.00


[10]
The following is a DFT calculation (PBE) of an optimized crystal structure of K2PaAsO8.

POSCAR file:
```
K2PaAsO8
1.0
6.1790 0.0000 0.0000
-3.0895 5.3512 0.0000
0.0000 0.0000 5.7683
K O As Pa
2 8 1 1
Cartesian
3.0895 1.7837 0.4908 K
0.0000 3.5675 5.2775 K
0.0000 3.5675 2.6730 O
1.2684 0.7323 4.5796 O
1.8211 4.6189 1.1887 O
4.9106 0.7323 4.5796 O
-1.8211 4.6189 1.1887 O
3.0895 3.8865 4.5796 O
3.0895 1.7837 3.0953 O
0.0000 1.4647 1.1887 O
0.0000 0.0000 0.0000 As
0.0000 0.0000 2.8842 Pa
```

Density of states at the Fermi level in states/eV/cell: 7.7
Calculated total energy in eV/atom: -5.92


[11]
The following is a DFT calculation (PBE) of an optimized crystal structure of KPa2AsO8.

POSCAR file:
```
KPa2AsO8
1.0
5.1836 0.0000 0.0000
-2.5918 4.4891 0.0000
0.0000 0.0000 7.9197
O K Pa As
8 1 2 1
Cartesian
1.2747 3.7287 1.0188 O
1.3171 0.7604 6.9008 O
2.5918 2.9682 6.9008 O
2.5918 1.4964 2.9578 O
0.0000 2.9927 4.9619 O
3.8664 0.7604 6.9008 O
-1.2747 3.7287 1.0188 O
0.0000 1.5209 1.0188 O
0.0000 0.0000 3.9598 K
2.5918 1.4964 1.0879 Pa
0.0000 2.9927 6.8318 Pa
0.0000 0.0000 0.0000 As
```

Density of states at the Fermi level in states/eV/cell: 0.0
Calculated total energy in eV/atom: -7.84


[12]
The following is a DFT calculation (PBE) of an optimized crystal structure of KPaAs2O6.

POSCAR file:
```
KPaAs2O6
1.0
-2.7815 3.1051 -3.7574
-5.3520 1.4074 0.9338
-0.7347 6.9854 2.1253
O K As Pa
6 1 2 1
Cartesian
-5.3570 5.6831 -2.3338 O
-3.1340 4.0696 -0.8826 O
-2.9257 7.1409 -1.1122 O
-3.5112 5.8148 1.6355 O
-5.7342 7.4283 0.1843 O
-5.9425 4.3570 0.4138 O
0.0000 0.0000 0.0000 K
-6.5317 8.9547 -0.3384 As
-2.3365 2.5432 -0.3599 As
-4.4341 5.7489 -0.3492 Pa
```

Density of states at the Fermi level in states/eV/cell: 0.0
Calculated total energy in eV/atom: -7.13


Please write out number 11 again, unchanged.
The following is a DFT calculation (PBE) of an optimized crystal structure of KPa2AsO8.

POSCAR file:
```
KPa2AsO8
1.0
5.1836 0.0000 0.0000
-2.5918 4.4891 0.0000
0.0000 0.0000 7.9197
O K Pa As
8 1 2 1
Cartesian
1.2747 3.7287 1.0188 O
1.3171 0.7604 6.9008 O
2.5918 2.9682 6.9008 O
2.5918 1.4964 2.9578 O
0.0000 2.9927 4.9619 O
3.8664 0.7604 6.9008 O
-1.2747 3.7287 1.0188 O
0.0000 1.5209 1.0188 O
0.0000 0.0000 3.9598 K
2.5918 1.4964 1.0879 Pa
0.0000 2.9927 6.8318 Pa
0.0000 0.0000 0.0000 As
```

Density of states at the Fermi level in states/eV/cell: 0.0
Calculated total energy in eV/atom: -7.84


- Look up the calculated total energy of the twelfth one.
  -7.13 eV/atom


Please write out number 8 again, unchanged.
The following is a DFT calculation (PBE) of an optimized crystal structure of KAsP2O8.

POSCAR file:
```
KAsP2O8
1.0
-4.9095 -0.1473 -0.3537
-2.1417 -2.9222 -3.3352
-2.5725 -7.4210 4.5186
O K P As
8 1 2 1
Cartesian
-2.3790 -1.8479 -0.4886 O
-6.1656 -6.4512 0.7560 O
-7.2446 -8.6426 1.3183 O
-4.3917 -5.3132 -1.3801 O
-6.1723 -4.1208 -0.1218 O
-3.7817 -3.7149 0.4223 O
-3.7018 -6.7114 0.5616 O
-4.6579 -5.1601 2.2512 O
0.0000 0.0000 0.0000 K
-2.4176 -2.9592 0.5098 P
-7.2061 -7.5314 0.3199 P
-4.8118 -5.2453 0.4149 As
```

Density of states at the Fermi level in states/eV/cell: 0.0
Calculated total energy in eV/atom: -6.46


- Among the records above, which one has the highest calculated total energy?
  K8As2O